(1)
Density functional theory data (PBE) for a relaxed Ca4Bi2Au crystal.

The structure in POSCAR format:
```
Ca4Bi2Au
1.0
4.6662 0.0000 0.0000
0.0000 8.6283 -1.0913
-2.3331 -5.1513 6.3147
Ca Bi Au
4 2 1
Cartesian
2.3331 -2.4562 5.0339
0.0000 5.9332 0.1895
2.3331 0.5286 1.8524
0.0000 2.9484 3.3710
2.3331 3.8208 1.3047
0.0000 -0.3438 3.9187
0.0000 0.0000 0.0000
```

Properties
The formation energy is -0.7267 eV/atom. For the volume, the calculation gives 32.57 Å³ per atom. Its energy is -3.4475 eV per atom.

***

(2)
Density functional theory data (PBE) for a relaxed CaBi3Au crystal.

The structure in POSCAR format:
```
CaBi3Au
1.0
-3.4222 -2.3968 3.7432
3.1241 -4.6575 -0.1261
3.1618 2.0077 4.1761
Ca Au Bi
1 1 3
Cartesian
1.4318 -2.5233 3.8966
0.0000 0.0000 0.0000
1.5620 -2.3287 -0.0631
1.5809 1.0039 2.0881
-1.7111 -1.1984 1.8716
```

Properties
The formation energy is 0.0613 eV/atom. For the volume, the calculation gives 35.30 Å³ per atom. Its energy is -3.3231 eV per atom.

***

(3)
Density functional theory data (PBE) for a relaxed Ca4BiAu3 crystal.

The structure in POSCAR format:
```
Ca4BiAu3
1.0
-1.6269 3.9241 3.1607
-5.0385 -1.3030 -0.9757
3.4183 -5.9105 4.6625
Ca Au Bi
4 3 1
Cartesian
0.0644 -3.4060 4.2618
-3.3116 0.1167 2.5857
0.0218 -1.1938 1.4933
-3.2689 -2.0956 5.3542
-2.5193 -0.6515 -0.4879
-0.7667 -0.3665 4.4954
-2.4804 -2.9229 2.3521
-0.8135 1.9621 1.5804
```

Properties
The formation energy is -0.7918 eV/atom. For the volume, the calculation gives 25.82 Å³ per atom. Its energy is -3.5067 eV per atom.

***

(4)
Density functional theory data (PBE) for a relaxed CaBiAu3 crystal.

The structure in POSCAR format:
```
CaBiAu3
1.0
-0.2837 2.0362 -4.0974
-3.2182 -1.7392 -0.6414
-5.3740 11.6389 6.1559
Ca Bi Au
2 2 6
Cartesian
-1.1234 2.1322 -0.1449
-7.7525 9.8037 1.5619
-5.7477 5.9127 2.0540
-3.1281 6.0232 -0.6370
-5.3551 8.6583 3.3912
-3.5208 3.2776 -1.9742
-6.6931 10.7217 4.5092
-2.1828 1.2142 -3.0922
-4.6686 8.3989 0.6503
-4.2072 3.5370 0.7667
```

Properties
The formation energy is -0.4225 eV/atom. For the volume, the calculation gives 24.00 Å³ per atom. Its energy is -3.5654 eV per atom.

***

(5)
Density functional theory data (PBE) for a relaxed CaBi2Au crystal.

The structure in POSCAR format:
```
CaBi2Au
1.0
4.7356 0.0000 -1.3134
-0.3642 4.7216 -1.3134
0.1359 0.1468 9.6845
Ca Bi Au
2 4 2
Cartesian
0.6558 0.7083 2.3644
3.8516 4.1602 4.6933
-0.1821 2.3608 -0.6567
2.3678 0.0000 -0.6567
1.6542 1.7867 5.9645
2.8531 3.0817 1.0932
0.9787 3.6146 3.5289
3.5286 1.2538 3.5289
```

Properties
The formation energy is -0.4681 eV/atom. For the volume, the calculation gives 27.30 Å³ per atom. Its energy is -3.7283 eV per atom.

***

(6)
Density functional theory data (PBE) for a relaxed Ca3BiAu4 crystal.

The structure in POSCAR format:
```
Ca3BiAu4
1.0
-4.9729 0.9163 0.6853
-3.2425 -0.4628 -3.9129
-3.9728 -8.0375 0.9154
Ca Au Bi
3 4 1
Cartesian
-3.0262 -1.7575 -0.6117
-9.1621 -5.8265 -1.7005
-6.0942 -3.7920 -1.1561
-8.7007 -2.7657 -2.4448
-6.5315 -6.6934 -0.4505
-3.4876 -4.8183 0.1326
-5.6568 -0.8906 -1.8617
0.0000 0.0000 0.0000
```

Properties
The formation energy is -0.7023 eV/atom. For the volume, the calculation gives 24.01 Å³ per atom. Its energy is -3.5767 eV per atom.

***

Question: What is the formula in the third record?
Answer: Ca4BiAu3

***

Please write out number 4 again, unchanged.
Density functional theory data (PBE) for a relaxed CaBiAu3 crystal.

The structure in POSCAR format:
```
CaBiAu3
1.0
-0.2837 2.0362 -4.0974
-3.2182 -1.7392 -0.6414
-5.3740 11.6389 6.1559
Ca Bi Au
2 2 6
Cartesian
-1.1234 2.1322 -0.1449
-7.7525 9.8037 1.5619
-5.7477 5.9127 2.0540
-3.1281 6.0232 -0.6370
-5.3551 8.6583 3.3912
-3.5208 3.2776 -1.9742
-6.6931 10.7217 4.5092
-2.1828 1.2142 -3.0922
-4.6686 8.3989 0.6503
-4.2072 3.5370 0.7667
```

Properties
The formation energy is -0.4225 eV/atom. For the volume, the calculation gives 24.00 Å³ per atom. Its energy is -3.5654 eV per atom.

***

Question: Among the records above, which one has the lowest energy?
Answer: CaBi2Au

***

Question: Among the records above, which one has the lowest energy?
Answer: CaBi2Au